1.
CdIn2Ni | PBEsol | relaxed

- Space group: Imm2 (44)
- Formation enthalpy at 0 K: -0.071 eV per atom

a b c (Å): 6.834 6.834 6.834
angles (deg): 155.81 142.83 44.85
Atoms (fractional coordinates):
Cd1 0.000 0.000 0.000
In1 0.322 0.822 0.500
In2 0.632 0.632 0.000
Ni1 0.813 0.313 0.500

***

2.
La2CdCo | PBEsol | relaxed

- Space group: P4/mmm (123)
- Formation enthalpy at 0 K: -0.122 eV per atom

a b c (Å): 3.500 3.500 7.872
angles (deg): 90.00 90.00 90.00
Atoms (fractional coordinates):
La1 0.000 0.000 0.205
La2 0.000 0.000 0.795
Cd1 0.500 0.500 0.500
Co1 0.500 0.500 0.000

***

3.
Os2Ru | PBEsol | relaxed

- Space group: Pnma (62)
- Formation enthalpy at 0 K: -0.013 eV per atom
- Excess energy over the best structure of this formula in the dataset: 0.2 kJ/mol of atoms

a b c (Å): 4.703 4.296 8.143
angles (deg): 90.00 90.00 90.00
Atoms (fractional coordinates):
Os1 0.167 0.250 0.000
Os2 0.168 0.250 0.333
Os3 0.332 0.750 0.833
Os4 0.333 0.750 0.500
Os5 0.667 0.250 0.500
Os6 0.668 0.250 0.167
Os7 0.832 0.750 0.667
Os8 0.833 0.750 0.000
Ru1 0.165 0.250 0.667
Ru2 0.335 0.750 0.167
Ru3 0.665 0.250 0.833
Ru4 0.835 0.750 0.333

***

4.
YCd2Se | PBEsol | relaxed

- Space group: P4mm (99)
- E_form (uncorrected): -0.67 eV per atom

a b c (Å): 3.777 3.777 6.532
angles (deg): 90.00 90.00 90.00
Atoms (fractional coordinates):
Y1 0.000 0.000 0.000
Cd1 0.000 0.000 0.508
Cd2 0.500 0.500 0.313
Se1 0.500 0.500 0.855

***

5.
Hg2PbCl | PBEsol | relaxed

- Space group: Pm (6)
- Excess energy over the best structure of this formula in the dataset: 0.0 kJ/mol of atoms
- E_form (uncorrected): -0.29 eV per atom

a b c (Å): 3.437 4.904 6.222
angles (deg): 90.00 104.74 90.00
Atoms (fractional coordinates):
Hg1 0.000 0.000 0.000
Hg2 0.474 0.500 0.949
Pb1 0.258 0.500 0.441
Cl1 0.756 0.000 0.488

***

6.
CdFeCu2 | PBEsol | relaxed

- Space group: Fm-3m (225)
- Formation enthalpy at 0 K: 0.271 eV per atom

a b c (Å): 4.235 4.235 4.235
angles (deg): 60.00 60.00 60.00
Atoms (fractional coordinates):
Cd1 0.000 0.000 0.000
Fe1 0.500 0.500 0.500
Cu1 0.250 0.250 0.250
Cu2 0.750 0.750 0.750

***

7.
NiHCl2 | PBEsol | relaxed

- Space group: R-3m (166)

a b c (Å): 5.984 5.984 5.984
angles (deg): 35.21 35.21 35.21
Atoms (fractional coordinates):
Ni1 0.000 0.000 0.000
H1 0.500 0.500 0.500
Cl1 0.407 0.407 0.407
Cl2 0.593 0.593 0.593

***

8.
BaSi | PBEsol | relaxed

- Space group: Cmcm (63)
- E_form (uncorrected): -0.47 eV per atom

a b c (Å): 6.481 6.481 4.090
angles (deg): 90.00 90.00 134.92
Atoms (fractional coordinates):
Ba1 0.142 0.858 0.750
Ba2 0.858 0.142 0.250
Si1 0.442 0.558 0.750
Si2 0.558 0.442 0.250

***

9.
TaTl2In | PBEsol | relaxed

- Space group: Pm (6)
- Formation enthalpy at 0 K: 0.417 eV per atom
- Excess energy over the best structure of this formula in the dataset: 0.0 kJ/mol of atoms

a b c (Å): 3.101 5.055 5.903
angles (deg): 90.00 104.34 90.00
Atoms (fractional coordinates):
Ta1 0.000 0.000 0.000
Tl1 0.146 0.500 0.288
Tl2 0.739 0.000 0.493
In1 0.424 0.500 0.832

***

10.
BaTe2Os | PBEsol | relaxed

- Space group: Cmmm (65)
- Excess energy over the best structure of this formula in the dataset: 18.9 kJ/mol of atoms
- E_form (uncorrected): 0.14 eV per atom

a b c (Å): 3.887 3.887 7.947
angles (deg): 90.00 90.00 112.10
Atoms (fractional coordinates):
Ba1 0.000 0.000 0.000
Te1 0.500 0.500 0.304
Te2 0.500 0.500 0.696
Os1 0.000 0.000 0.500

***

11.
Ag2TeBr2 | PBEsol | relaxed

- Space group: I4/mmm (139)
- E_form (uncorrected): 0.29 eV per atom

a b c (Å): 6.418 6.418 6.418
angles (deg): 136.42 136.42 63.33
Atoms (fractional coordinates):
Ag1 0.123 0.123 0.000
Ag2 0.877 0.877 0.000
Te1 0.500 0.500 0.000
Br1 0.250 0.750 0.500
Br2 0.750 0.250 0.500

***

12.
AgTeHI2 | PBEsol | relaxed

- Space group: P4/mmm (123)
- Excess energy over the best structure of this formula in the dataset: 0.0 kJ/mol of atoms

a b c (Å): 5.607 5.607 3.811
angles (deg): 90.00 90.00 90.00
Atoms (fractional coordinates):
Ag1 0.000 0.000 0.000
Te1 0.500 0.500 0.000
H1 0.500 0.500 0.500
I1 0.000 0.500 0.500
I2 0.500 0.000 0.500

***

13.
MgCo2Ni | PBEsol | relaxed

- Space group: P4/mmm (123)
- Formation enthalpy at 0 K: 0.184 eV per atom

a b c (Å): 2.551 2.551 7.274
angles (deg): 90.00 90.00 90.00
Atoms (fractional coordinates):
Mg1 0.000 0.000 0.000
Co1 0.500 0.500 0.276
Co2 0.500 0.500 0.724
Ni1 0.000 0.000 0.500

***

14.
KLiBr3 | PBEsol | relaxed

- Space group: Pm-3m (221)
- E_form (uncorrected): -0.64 eV per atom

a b c (Å): 5.988 5.988 5.988
angles (deg): 90.00 90.00 90.00
Atoms (fractional coordinates):
K1 0.000 0.000 0.000
Li1 0.500 0.500 0.500
Br1 0.000 0.000 0.500
Br2 0.000 0.500 0.000
Br3 0.500 0.000 0.000

***

15.
Li3Al | PBEsol | relaxed

- Space group: Pm-3n (223)
- Formation enthalpy at 0 K: -0.030 eV per atom

a b c (Å): 5.138 5.138 5.138
angles (deg): 90.00 90.00 90.00
Atoms (fractional coordinates):
Li1 0.000 0.250 0.500
Li2 0.000 0.750 0.500
Li3 0.250 0.500 0.000
Li4 0.500 0.000 0.250
Li5 0.500 0.000 0.750
Li6 0.750 0.500 0.000
Al1 0.000 0.000 0.000
Al2 0.500 0.500 0.500

***

16.
Ni2OsBr | PBEsol | relaxed

- Space group: Fm-3m (225)
- Excess energy over the best structure of this formula in the dataset: 13.7 kJ/mol of atoms
- E_form (uncorrected): 1.11 eV per atom

a b c (Å): 4.240 4.240 4.240
angles (deg): 60.00 60.00 60.00
Atoms (fractional coordinates):
Ni1 0.250 0.250 0.250
Ni2 0.750 0.750 0.750
Os1 0.000 0.000 0.000
Br1 0.500 0.500 0.500

***

17.
ZnRe2Bi | PBEsol | relaxed

- Space group: Fm-3m (225)
- Formation enthalpy at 0 K: 0.986 eV per atom

a b c (Å): 4.523 4.523 4.523
angles (deg): 60.00 60.00 60.00
Atoms (fractional coordinates):
Zn1 0.000 0.000 0.000
Re1 0.250 0.250 0.250
Re2 0.750 0.750 0.750
Bi1 0.500 0.500 0.500

***

18.
LiCa5 | PBEsol | relaxed

- Space group: P-62m (189)
- Formation enthalpy at 0 K: 0.043 eV per atom
- Excess energy over the best structure of this formula in the dataset: 2.4 kJ/mol of atoms

a b c (Å): 6.539 6.539 6.168
angles (deg): 90.00 90.00 120.00
Atoms (fractional coordinates):
Li1 0.000 0.000 0.000
Ca1 0.000 0.326 0.500
Ca2 0.326 0.000 0.500
Ca3 0.333 0.667 0.000
Ca4 0.667 0.333 0.000
Ca5 0.674 0.674 0.500

***

19.
CrTcBr2 | PBEsol | relaxed

- Space group: R-3m (166)
- Excess energy over the best structure of this formula in the dataset: 52.6 kJ/mol of atoms
- E_form (uncorrected): 0.77 eV per atom

a b c (Å): 8.114 8.114 8.114
angles (deg): 21.81 21.81 21.81
Atoms (fractional coordinates):
Cr1 0.000 0.000 0.000
Tc1 0.500 0.500 0.500
Br1 0.253 0.253 0.253
Br2 0.747 0.747 0.747

***

20.
MgGaTe2P | PBEsol | relaxed

- Space group: P4/mmm (123)
- E_form (uncorrected): 0.68 eV per atom

a b c (Å): 5.256 5.256 4.870
angles (deg): 90.00 90.00 90.00
Atoms (fractional coordinates):
Mg1 0.000 0.000 0.000
Ga1 0.000 0.000 0.500
Te1 0.000 0.500 0.500
Te2 0.500 0.000 0.500
P1 0.500 0.500 0.000

***

Per-record total energy, eV per atom: -3.4015, -5.0283, -11.5473, -3.9389, -2.0719, -4.4362, -3.5162, -4.4175, -4.7820, -5.2162, -2.4891, -2.3186, -5.6537, -2.3854, -2.5278, -5.4922, -7.1471, -2.0625, -5.5450, -2.9035